Arrangement a

Material: TaIr2Ru
Method: DFT, GGA-PBE
State: relaxed

## Properties
- Total moment: 0.000 μB/cell
- Space-group type: Cmmm, No. 65
- Crystal system: orthorhombic

```
TaIr2Ru
1.0
-3.354 0.731 -3.316
-2.076 -1.515 4.022
-0.272 2.660 0.862
Ta Ir Ru
1 2 1
Direct
0.000 0.500 0.500
0.000 0.000 0.000
0.500 0.500 0.000
0.500 0.000 0.500
```

=====

Arrangement b

Material: TaIr2Ru
Method: DFT, GGA-PBE
State: relaxed

## Properties
- Total moment: 0.325 μB/cell
- Space-group type: P4mm, No. 99
- Crystal system: tetragonal

```
TaIr2Ru
1.0
-2.633 -1.045 -1.763
1.800 -2.553 -1.174
-1.640 -3.139 4.311
Ta Ir Ru
1 2 1
Direct
0.500 0.500 0.753
0.500 0.500 0.258
0.000 0.000 0.003
0.000 0.000 0.486
```

=====

Arrangement c

Material: TaIr2Ru
Method: DFT, GGA-PBE
State: relaxed

## Properties
- Total moment: 0.000 μB/cell
- Space-group type: R3m, No. 160
- Crystal system: trigonal

```
TaIr2Ru
1.0
-5.274 -7.494 1.274
-3.211 -8.675 -0.170
-2.982 -8.368 2.585
Ta Ru Ir
1 1 2
Direct
0.749 0.749 0.749
0.503 0.503 0.503
0.999 0.999 0.999
0.249 0.249 0.249
```

=====

Energy relative to the most stable one, in eV/atom: arrangement a 0.000; arrangement b 0.293; arrangement c 0.347

=====

Arrangement a

Material: TaIr2Ru
Method: DFT, GGA-PBE
State: relaxed

## Properties
- Total moment: 0.000 μB/cell
- Space-group type: C2/m, No. 12
- Crystal system: monoclinic

```
TaIr2Ru
1.0
-4.738 -0.882 -0.296
-3.431 -3.348 -0.577
-0.946 -1.020 4.550
Ir Ru Ta
2 1 1
Direct
0.001 0.001 0.992
0.499 0.499 0.508
0.750 0.750 0.750
0.250 0.250 0.250
```

=====

Arrangement b

Material: TaIr2Ru
Method: DFT, GGA-PBE
State: relaxed

## Properties
- Total moment: 0.000 μB/cell
- Space-group type: Pmmm, No. 47
- Crystal system: orthorhombic

```
TaIr2Ru
1.0
2.800 0.000 0.000
0.000 3.871 0.000
0.000 0.000 5.590
Ru Ir Ta
1 2 1
Direct
0.500 0.500 0.250
0.000 0.000 0.489
0.000 0.000 0.011
0.500 0.500 0.750
```

=====

Energy relative to the most stable one, in eV/atom: arrangement a 0.081; arrangement b 0.000